[1]
An optimized crystal structure of Ba5SrHg6. Source: Alexandria via LeMat-Bulk, functional GGA-PBE.

Structure (POSCAR):
```
Ba5SrHg6
1.0
5.603 -0.034 1.878
0.045 8.362 0.015
0.014 -0.017 9.352
Sr Ba Hg
1 5 6
direct
0.000 0.000 0.000
0.667 0.500 0.665
0.334 0.000 0.332
0.000 0.500 0.000
0.666 0.000 0.668
0.333 0.500 0.335
0.835 0.754 0.329
0.835 0.246 0.329
0.500 0.243 0.000
0.500 0.757 0.000
0.165 0.754 0.671
0.165 0.246 0.671
```

As for the density of states at the Fermi level: 8.528 states/eV/cell. The total energy comes out at -19.4 eV for the cell shown.

---

[2]
An optimized crystal structure of ZnHgIr2. Source: Alexandria via LeMat-Bulk, functional GGA-PBE.

Structure (POSCAR):
```
ZnHgIr2
1.0
2.824 0.000 0.000
0.000 2.824 0.000
0.000 0.000 8.227
Hg Ir Zn
1 2 1
direct
0.500 0.500 0.754
0.000 0.000 0.030
0.500 0.500 0.248
0.000 0.000 0.467
```

As for the density of states at the Fermi level: 4.069 states/eV/cell. The total energy comes out at -18.6 eV for the cell shown.

---

[3]
An optimized crystal structure of ScTl2Br. Source: Alexandria via LeMat-Bulk, functional GGA-PBE.

Structure (POSCAR):
```
ScTl2Br
1.0
-2.470 2.217 -1.124
1.322 -2.167 -2.416
-7.480 -7.156 2.325
Br Sc Tl
1 1 2
direct
0.000 0.000 0.562
0.500 0.500 0.743
0.000 0.000 0.968
0.500 0.500 0.227
```

As for the uncorrected formation energy: -1.8 eV per formula unit. As for the density of states at the Fermi level: 3.622 states/eV/cell.

---

[4]
An optimized crystal structure of TiZn2Ni2. Source: Alexandria via LeMat-Bulk, functional GGA-PBE.

Structure (POSCAR):
```
TiZn2Ni2
1.0
-5.865 -3.116 2.481
3.660 -2.474 5.546
-0.584 2.178 1.357
Ni Zn Ti
4 4 2
direct
0.176 0.676 0.500
0.676 0.824 0.500
0.824 0.324 0.500
0.324 0.176 0.500
0.376 0.876 0.000
0.876 0.624 0.000
0.624 0.124 0.000
0.124 0.376 0.000
0.000 0.000 0.000
0.500 0.500 0.000
```

As for the density of states at the Fermi level: 7.912 states/eV/cell. The total energy comes out at -46.0 eV for the cell shown.

---

[5]
An optimized crystal structure of Ca5ScAs4. Source: Alexandria via LeMat-Bulk, functional GGA-PBE.

Structure (POSCAR):
```
Ca5ScAs4
1.0
4.263 0.000 0.000
0.000 7.718 -1.280
-2.132 -2.442 9.175
Ca Sc As
5 1 4
direct
0.834 0.595 0.669
0.834 0.073 0.669
0.166 0.927 0.331
0.500 0.500 0.000
0.166 0.405 0.331
0.500 0.000 0.000
0.299 0.799 0.598
0.000 0.764 0.000
0.701 0.201 0.402
0.000 0.236 0.000
```

As for the density of states at the Fermi level: 5.089 states/eV/cell. The total energy comes out at -45.2 eV for the cell shown.

---

[6]
An optimized crystal structure of CrFeOs2. Source: Alexandria via LeMat-Bulk, functional GGA-PBE.

Structure (POSCAR):
```
CrFeOs2
1.0
-3.457 0.323 -2.885
-4.090 -1.567 -1.091
-2.666 3.056 2.278
Cr Fe Os
1 1 2
direct
0.750 0.750 0.750
0.250 0.250 0.250
0.004 0.004 0.998
0.496 0.496 0.502
```

As for the density of states at the Fermi level: 4.420 states/eV/cell. The total energy comes out at -40.0 eV for the cell shown.

---

[7]
An optimized crystal structure of CeTmGe2. Source: Alexandria via LeMat-Bulk, functional GGA-PBE.

Structure (POSCAR):
```
CeTmGe2
1.0
4.323 0.000 -0.029
0.000 4.018 0.000
-2.125 0.000 5.405
Ce Tm Ge
1 1 2
direct
0.445 0.500 0.429
0.719 0.000 0.977
0.169 0.500 0.877
0.998 0.000 0.535
```

As for the density of states at the Fermi level: 6.369 states/eV/cell. The total energy comes out at -22.7 eV for the cell shown.

---

[8]
An optimized crystal structure of RbTe2SeI. Source: Alexandria via LeMat-Bulk, functional GGA-PBE.

Structure (POSCAR):
```
RbTe2SeI
1.0
5.636 0.000 0.000
0.000 5.636 0.000
0.000 0.000 6.066
I Te Se Rb
1 2 1 1
direct
0.000 0.000 0.500
0.000 0.500 0.000
0.500 0.000 0.000
0.000 0.000 0.000
0.500 0.500 0.500
```

As for the uncorrected formation energy: -1.1 eV per formula unit. As for the density of states at the Fermi level: 6.449 states/eV/cell.

---

Which formula does entry 6 have? CrFeOs2

---

Copy entry 6 word for word.
An optimized crystal structure of CrFeOs2. Source: Alexandria via LeMat-Bulk, functional GGA-PBE.

Structure (POSCAR):
```
CrFeOs2
1.0
-3.457 0.323 -2.885
-4.090 -1.567 -1.091
-2.666 3.056 2.278
Cr Fe Os
1 1 2
direct
0.750 0.750 0.750
0.250 0.250 0.250
0.004 0.004 0.998
0.496 0.496 0.502
```

As for the density of states at the Fermi level: 4.420 states/eV/cell. The total energy comes out at -40.0 eV for the cell shown.